1.
ZrFeAsOs: relaxed, PBE.

Its space group is No. 216. For the energy above the most stable polymorph in this dataset, the calculation gives 158 meV/atom. For the spin magnetization, the calculation gives 0.919 μB per atom.

Structure (CIF):
```
data_ZrFeAsOs
_symmetry_space_group_name_H-M 'P 1'
_symmetry_Int_Tables_number 1
_cell_length_a 4.5105
_cell_length_b 4.5105
_cell_length_c 4.5105
_cell_angle_alpha 60.00
_cell_angle_beta 60.00
_cell_angle_gamma 60.00
loop_
_symmetry_equiv_pos_as_xyz
'x,y,z'
loop_
_atom_site_label
_atom_site_type_symbol
_atom_site_fract_x
_atom_site_fract_y
_atom_site_fract_z
Zr1 Zr 0.0000 0.0000 0.0000
Fe1 Fe 0.5000 0.5000 0.5000
As1 As 0.2500 0.2500 0.2500
Os1 Os 0.7500 0.7500 0.7500
```

2.
ScTlCo2: relaxed, PBE.

Its space group is No. 216. For the spin magnetization, the calculation gives 0.725 μB per atom.

Structure (CIF):
```
data_ScTlCo2
_symmetry_space_group_name_H-M 'P 1'
_symmetry_Int_Tables_number 1
_cell_length_a 4.5003
_cell_length_b 4.5003
_cell_length_c 4.5003
_cell_angle_alpha 60.00
_cell_angle_beta 60.00
_cell_angle_gamma 60.00
loop_
_symmetry_equiv_pos_as_xyz
'x,y,z'
loop_
_atom_site_label
_atom_site_type_symbol
_atom_site_fract_x
_atom_site_fract_y
_atom_site_fract_z
Sc1 Sc 0.0000 0.0000 0.0000
Tl1 Tl 0.7500 0.7500 0.7500
Co1 Co 0.2500 0.2500 0.2500
Co2 Co 0.5000 0.5000 0.5000
```

3.
BaAs4Au8: relaxed, PBE.

Its space group is No. 87.

Structure (CIF):
```
data_BaAs4Au8
_symmetry_space_group_name_H-M 'P 1'
_symmetry_Int_Tables_number 1
_cell_length_a 8.1830
_cell_length_b 8.1830
_cell_length_c 8.1830
_cell_angle_alpha 94.16
_cell_angle_beta 94.16
_cell_angle_gamma 148.74
loop_
_symmetry_equiv_pos_as_xyz
'x,y,z'
loop_
_atom_site_label
_atom_site_type_symbol
_atom_site_fract_x
_atom_site_fract_y
_atom_site_fract_z
Ba1 Ba 0.0000 0.0000 0.0000
As1 As 0.2669 0.5461 0.8130
As2 As 0.4539 0.2669 0.7208
As3 As 0.5461 0.7331 0.2792
As4 As 0.7331 0.4539 0.1870
Au1 Au 0.0520 0.6302 0.6821
Au2 Au 0.1746 0.2541 0.4286
Au3 Au 0.2541 0.8254 0.0795
Au4 Au 0.3698 0.0520 0.4218
Au5 Au 0.6302 0.9480 0.5782
Au6 Au 0.7459 0.1746 0.9205
Au7 Au 0.8254 0.7459 0.5714
Au8 Au 0.9480 0.3698 0.3179
```

4.
TaCuTcBi: relaxed, PBE.

Its space group is No. 216. For the energy above the most stable polymorph in this dataset, the calculation gives 196 meV/atom. For the spin magnetization, the calculation gives 0.000 μB per atom.

Structure (CIF):
```
data_TaCuTcBi
_symmetry_space_group_name_H-M 'P 1'
_symmetry_Int_Tables_number 1
_cell_length_a 4.6020
_cell_length_b 4.6020
_cell_length_c 4.6020
_cell_angle_alpha 60.00
_cell_angle_beta 60.00
_cell_angle_gamma 60.00
loop_
_symmetry_equiv_pos_as_xyz
'x,y,z'
loop_
_atom_site_label
_atom_site_type_symbol
_atom_site_fract_x
_atom_site_fract_y
_atom_site_fract_z
Ta1 Ta 0.0000 0.0000 0.0000
Cu1 Cu 0.2500 0.2500 0.2500
Tc1 Tc 0.5000 0.5000 0.5000
Bi1 Bi 0.7500 0.7500 0.7500
```

5.
Mg2ZnGa: relaxed, PBE.

Its space group is No. 216.

Structure (CIF):
```
data_Mg2ZnGa
_symmetry_space_group_name_H-M 'P 1'
_symmetry_Int_Tables_number 1
_cell_length_a 4.7422
_cell_length_b 4.7422
_cell_length_c 4.7422
_cell_angle_alpha 60.00
_cell_angle_beta 60.00
_cell_angle_gamma 60.00
loop_
_symmetry_equiv_pos_as_xyz
'x,y,z'
loop_
_atom_site_label
_atom_site_type_symbol
_atom_site_fract_x
_atom_site_fract_y
_atom_site_fract_z
Mg1 Mg 0.0000 0.0000 0.0000
Mg2 Mg 0.2500 0.2500 0.2500
Zn1 Zn 0.7500 0.7500 0.7500
Ga1 Ga 0.5000 0.5000 0.5000
```

6.
Li2HfCdGa2Ir2: relaxed, PBE.

Its space group is No. 115. For the spin magnetization, the calculation gives 0.000 μB per atom.

Structure (CIF):
```
data_Li2HfCdGa2Ir2
_symmetry_space_group_name_H-M 'P 1'
_symmetry_Int_Tables_number 1
_cell_length_a 4.4360
_cell_length_b 4.4360
_cell_length_c 6.3439
_cell_angle_alpha 90.00
_cell_angle_beta 90.00
_cell_angle_gamma 90.00
loop_
_symmetry_equiv_pos_as_xyz
'x,y,z'
loop_
_atom_site_label
_atom_site_type_symbol
_atom_site_fract_x
_atom_site_fract_y
_atom_site_fract_z
Li1 Li 0.0000 0.5000 0.2267
Li2 Li 0.5000 0.0000 0.7733
Hf1 Hf 0.5000 0.5000 0.5000
Cd1 Cd 0.0000 0.0000 0.0000
Ga1 Ga 0.0000 0.0000 0.5000
Ga2 Ga 0.5000 0.5000 0.0000
Ir1 Ir 0.0000 0.5000 0.7360
Ir2 Ir 0.5000 0.0000 0.2640
```

7.
Er2S: relaxed, PBE.

Its space group is No. 227. For the spin magnetization, the calculation gives 0.004 μB per atom.

Structure (CIF):
```
data_Er2S
_symmetry_space_group_name_H-M 'P 1'
_symmetry_Int_Tables_number 1
_cell_length_a 6.1101
_cell_length_b 6.1101
_cell_length_c 6.1101
_cell_angle_alpha 60.00
_cell_angle_beta 60.00
_cell_angle_gamma 60.00
loop_
_symmetry_equiv_pos_as_xyz
'x,y,z'
loop_
_atom_site_label
_atom_site_type_symbol
_atom_site_fract_x
_atom_site_fract_y
_atom_site_fract_z
Er1 Er 0.0000 0.0000 0.0000
Er2 Er 0.0000 0.0000 0.5000
Er3 Er 0.0000 0.5000 0.0000
Er4 Er 0.5000 0.0000 0.0000
S1 S 0.3750 0.3750 0.3750
S2 S 0.6250 0.6250 0.6250
```

8.
PrHoIr: relaxed, PBE.

The formation energy from the elements comes out at -0.604 eV per atom. Its space group is No. 62. For the energy above the most stable polymorph in this dataset, the calculation gives 0 meV/atom. For the spin magnetization, the calculation gives 0.000 μB per atom.

Structure (CIF):
```
data_PrHoIr
_symmetry_space_group_name_H-M 'P 1'
_symmetry_Int_Tables_number 1
_cell_length_a 7.2746
_cell_length_b 4.7722
_cell_length_c 9.0466
_cell_angle_alpha 90.00
_cell_angle_beta 90.00
_cell_angle_gamma 90.00
loop_
_symmetry_equiv_pos_as_xyz
'x,y,z'
loop_
_atom_site_label
_atom_site_type_symbol
_atom_site_fract_x
_atom_site_fract_y
_atom_site_fract_z
Pr1 Pr 0.1414 0.2500 0.0919
Pr2 Pr 0.3586 0.7500 0.5919
Pr3 Pr 0.6414 0.2500 0.4081
Pr4 Pr 0.8586 0.7500 0.9081
Ho1 Ho 0.0006 0.7500 0.3456
Ho2 Ho 0.4994 0.2500 0.8456
Ho3 Ho 0.5006 0.7500 0.1544
Ho4 Ho 0.9994 0.2500 0.6544
Ir1 Ir 0.2307 0.2500 0.4154
Ir2 Ir 0.2693 0.7500 0.9154
Ir3 Ir 0.7307 0.2500 0.0846
Ir4 Ir 0.7693 0.7500 0.5846
```

9.
NaGdCdTe3: relaxed, PBE.

Its space group is No. 62. For the energy above the most stable polymorph in this dataset, the calculation gives 1 meV/atom. For the spin magnetization, the calculation gives 0.000 μB per atom.

Structure (CIF):
```
data_NaGdCdTe3
_symmetry_space_group_name_H-M 'P 1'
_symmetry_Int_Tables_number 1
_cell_length_a 11.7479
_cell_length_b 4.4172
_cell_length_c 14.7712
_cell_angle_alpha 90.00
_cell_angle_beta 90.00
_cell_angle_gamma 90.00
loop_
_symmetry_equiv_pos_as_xyz
'x,y,z'
loop_
_atom_site_label
_atom_site_type_symbol
_atom_site_fract_x
_atom_site_fract_y
_atom_site_fract_z
Na1 Na 0.2362 0.2500 0.0201
Na2 Na 0.2638 0.7500 0.5201
Na3 Na 0.7362 0.2500 0.4799
Na4 Na 0.7638 0.7500 0.9799
Gd1 Gd 0.0081 0.7500 0.7473
Gd2 Gd 0.4919 0.2500 0.2473
Gd3 Gd 0.5081 0.7500 0.7527
Gd4 Gd 0.9919 0.2500 0.2527
Cd1 Cd 0.2432 0.7500 0.2228
Cd2 Cd 0.2568 0.2500 0.7228
Cd3 Cd 0.7432 0.7500 0.2772
Cd4 Cd 0.7568 0.2500 0.7772
Te1 Te 0.0498 0.7500 0.1103
Te2 Te 0.0677 0.2500 0.6061
Te3 Te 0.2424 0.2500 0.3446
Te4 Te 0.2576 0.7500 0.8446
Te5 Te 0.4323 0.7500 0.1061
Te6 Te 0.4502 0.2500 0.6103
Te7 Te 0.5498 0.7500 0.3897
Te8 Te 0.5677 0.2500 0.8939
Te9 Te 0.7424 0.2500 0.1554
Te10 Te 0.7576 0.7500 0.6554
Te11 Te 0.9323 0.7500 0.3939
Te12 Te 0.9502 0.2500 0.8897
```

10.
HoHfZn2Ga2: relaxed, PBE.

Its space group is No. 164. For the spin magnetization, the calculation gives 0.000 μB per atom.

Structure (CIF):
```
data_HoHfZn2Ga2
_symmetry_space_group_name_H-M 'P 1'
_symmetry_Int_Tables_number 1
_cell_length_a 4.3414
_cell_length_b 4.3414
_cell_length_c 6.7508
_cell_angle_alpha 90.00
_cell_angle_beta 90.00
_cell_angle_gamma 120.00
loop_
_symmetry_equiv_pos_as_xyz
'x,y,z'
loop_
_atom_site_label
_atom_site_type_symbol
_atom_site_fract_x
_atom_site_fract_y
_atom_site_fract_z
Ho1 Ho 0.0000 0.0000 0.0000
Hf1 Hf 0.0000 0.0000 0.5000
Zn1 Zn 0.3333 0.6667 0.7229
Zn2 Zn 0.6667 0.3333 0.2771
Ga1 Ga 0.3333 0.6667 0.2661
Ga2 Ga 0.6667 0.3333 0.7339
```

11.
SmTeAs: relaxed, PBE.

Its space group is No. 62. For the spin magnetization, the calculation gives 0.000 μB per atom.

Structure (CIF):
```
data_SmTeAs
_symmetry_space_group_name_H-M 'P 1'
_symmetry_Int_Tables_number 1
_cell_length_a 8.0079
_cell_length_b 4.0644
_cell_length_c 10.8611
_cell_angle_alpha 90.00
_cell_angle_beta 90.00
_cell_angle_gamma 90.00
loop_
_symmetry_equiv_pos_as_xyz
'x,y,z'
loop_
_atom_site_label
_atom_site_type_symbol
_atom_site_fract_x
_atom_site_fract_y
_atom_site_fract_z
Sm1 Sm 0.0358 0.2500 0.2294
Sm2 Sm 0.4642 0.7500 0.7294
Sm3 Sm 0.5358 0.2500 0.2706
Sm4 Sm 0.9642 0.7500 0.7706
Te1 Te 0.2194 0.2500 0.5796
Te2 Te 0.2806 0.7500 0.0796
Te3 Te 0.7194 0.2500 0.9204
Te4 Te 0.7806 0.7500 0.4204
As1 As 0.2281 0.2500 0.8314
As2 As 0.2719 0.7500 0.3314
As3 As 0.7281 0.2500 0.6686
As4 As 0.7719 0.7500 0.1686
```

12.
HoTmSb: relaxed, PBE.

Its space group is No. 216. For the spin magnetization, the calculation gives 0.019 μB per atom.

Structure (CIF):
```
data_HoTmSb
_symmetry_space_group_name_H-M 'P 1'
_symmetry_Int_Tables_number 1
_cell_length_a 5.0172
_cell_length_b 5.0172
_cell_length_c 5.0172
_cell_angle_alpha 60.00
_cell_angle_beta 60.00
_cell_angle_gamma 60.00
loop_
_symmetry_equiv_pos_as_xyz
'x,y,z'
loop_
_atom_site_label
_atom_site_type_symbol
_atom_site_fract_x
_atom_site_fract_y
_atom_site_fract_z
Ho1 Ho 0.0000 0.0000 0.0000
Tm1 Tm 0.5000 0.5000 0.5000
Sb1 Sb 0.2500 0.2500 0.2500
```

no.,VASP energy (eV per atom)
1,-8.057
2,-5.507
3,-3.664
4,-6.905
5,-1.835
6,-5.307
7,-4.206
8,-6.673
9,-3.684
10,-4.313
11,-5.077
12,-4.854